1.
The following is a DFT calculation (PBE-GGA) of a geometry-optimized Pm6Ga2Ag structure.

Summary:
- ρ (g/cm3) = 6.604
- ΔE_f (eV per atom) = -0.14

Cell lengths 8.831, 8.831, 5.029 Å; angles 106.41, 106.41, 48.89 degrees
Positions (direct):
Pm 0.082 0.583 0.332
Pm 0.244 0.756 0.000
Pm 0.417 0.918 0.668
Pm 0.583 0.082 0.332
Pm 0.756 0.244 0.000
Pm 0.918 0.417 0.668
Ga 0.167 0.167 0.167
Ga 0.833 0.833 0.833
Ag 0.500 0.500 0.500

2.
The following is a DFT calculation (PBE-GGA) of a geometry-optimized SrNiAg2 structure.

Summary:
- ρ (g/cm3) = 7.099
- ΔE_f (eV per atom) = 0.16

Cell lengths 4.929, 4.929, 4.929 Å; angles 60.00, 60.00, 60.00 degrees
Positions (direct):
Sr 0.000 0.000 0.000
Ni 0.250 0.250 0.250
Ag 0.500 0.500 0.500
Ag 0.750 0.750 0.750